(P)
A relaxed structure of Nd4PtPb. Source: Alexandria via LeMat-Bulk, functional GGA-PBE.

The structure in POSCAR format:
```
Nd4PtPb
1.0
6.0072 0.0000 -2.0620
0.0000 7.0317 0.0000
-0.2599 0.0000 8.9827
Pt Nd Pb
2 8 2
direct
0.7602 0.7500 0.4400 Pt
0.2398 0.2500 0.5600 Pt
0.3983 0.7500 0.1260 Nd
0.0155 0.5024 0.7198 Nd
0.9845 0.0024 0.2802 Nd
0.9845 0.4976 0.2802 Nd
0.5780 0.2500 0.4192 Nd
0.0155 0.9976 0.7198 Nd
0.6017 0.2500 0.8740 Nd
0.4220 0.7500 0.5808 Nd
0.7712 0.7500 0.9440 Pb
0.2288 0.2500 0.0560 Pb
```

Symmetry   P2_1/m (11)

---

(Q)
A relaxed structure of Nd4PtPb. Source: Alexandria via LeMat-Bulk, functional GGA-PBE.

The structure in POSCAR format:
```
Nd4PtPb
1.0
-5.1859 0.4570 3.0185
2.7759 -8.2883 0.8299
4.8156 5.7187 4.0062
Nd Pb Pt
8 2 2
direct
0.9447 0.7942 0.1516 Nd
0.2280 0.2988 0.3704 Nd
0.7069 0.3574 0.1516 Nd
0.7720 0.7012 0.6296 Nd
0.6424 0.0716 0.3704 Nd
0.2931 0.6426 0.8484 Nd
0.0553 0.2058 0.8484 Nd
0.3576 0.9284 0.6296 Nd
0.3705 0.6205 0.2409 Pb
0.6295 0.3795 0.7591 Pb
0.7489 0.9989 0.9978 Pt
0.2511 0.0011 0.0022 Pt
```

Symmetry   C2/c (15)

---

Verdict on stability: (Q) comes out at the bottom.

---

(P)
A relaxed structure of NdPuPb. Source: Alexandria via LeMat-Bulk, functional GGA-PBE.

The structure in POSCAR format:
```
NdPuPb
1.0
-2.8350 -1.1743 -1.4251
2.8782 -1.8159 -4.2293
-0.8303 -3.2111 4.2975
Pb Pu Nd
1 1 1
direct
0.6663 0.6667 0.3333 Pb
0.1679 0.0000 0.0000 Pu
0.1658 0.3333 0.6667 Nd
```

Symmetry   P3m1 (156)

---

(Q)
A relaxed structure of NdPuPb. Source: Alexandria via LeMat-Bulk, functional GGA-PBE.

The structure in POSCAR format:
```
NdPuPb
1.0
-1.3844 -5.2843 -1.4025
0.1435 1.5322 5.4258
-6.2494 1.7225 -0.3212
Pb Nd Pu
2 2 2
direct
0.6666 0.8334 0.7500 Pb
0.3334 0.1666 0.2500 Pb
0.3332 0.1668 0.7500 Nd
0.6668 0.8332 0.2500 Nd
0.0000 0.5000 0.0000 Pu
0.0000 0.5000 0.5000 Pu
```

Symmetry   P6_3/mmc (194)

---

(R)
A relaxed structure of NdPuPb. Source: Alexandria via LeMat-Bulk, functional GGA-PBE.

The structure in POSCAR format:
```
NdPuPb
1.0
-3.4845 0.5537 0.3723
-0.4760 -0.6759 -3.4501
1.0125 -7.0567 3.0669
Pb Pu Nd
1 1 1
direct
0.2853 0.2853 0.5707 Pb
0.9394 0.9394 0.8788 Pu
0.6252 0.6252 0.2505 Nd
```

Symmetry   I4mm (107)

---

Verdict on stability: (P) comes out at the bottom.

---

(P)
A relaxed structure of Nd2RhPb. Source: Alexandria via LeMat-Bulk, functional GGA-PBE.

The structure in POSCAR format:
```
Nd2RhPb
1.0
3.9583 0.0000 0.0000
1.9792 3.4280 0.0000
1.9792 1.1427 8.7029
Rh Nd Pb
1 2 1
direct
0.0000 0.0000 0.0000 Rh
0.7319 0.7319 0.8043 Nd
0.2681 0.2681 0.1957 Nd
0.5000 0.5000 0.5000 Pb
```

Symmetry   R-3m (166)

---

(Q)
A relaxed structure of Nd2RhPb. Source: Alexandria via LeMat-Bulk, functional GGA-PBE.

The structure in POSCAR format:
```
Nd2RhPb
1.0
3.5854 0.0000 0.0000
0.0000 3.5854 0.0000
0.0000 0.0000 8.2518
Nd Rh Pb
2 1 1
direct
0.0000 0.0000 0.2079 Nd
0.0000 0.0000 0.7921 Nd
0.5000 0.5000 0.0000 Rh
0.5000 0.5000 0.5000 Pb
```

Symmetry   P4/mmm (123)

---

Verdict on stability: (P) comes out at the bottom.

---

(P)
A relaxed structure of Nd3RuPb. Source: Alexandria via LeMat-Bulk, functional GGA-PBE.

The structure in POSCAR format:
```
Nd3RuPb
1.0
4.6930 0.0003 0.0003
2.3461 5.9842 0.7366
-0.0006 0.2191 10.4460
Nd Ru Pb
6 2 2
direct
0.8045 0.7806 0.3023 Nd
0.5536 0.2825 0.8066 Nd
0.0113 0.3669 0.0810 Nd
0.5301 0.3295 0.3606 Nd
0.2623 0.8650 0.5767 Nd
0.2858 0.8180 0.0228 Nd
0.6431 0.1035 0.0764 Ru
0.1728 0.0441 0.3069 Ru
0.8288 0.7322 0.8033 Pb
0.9871 0.4154 0.5801 Pb
```

Symmetry   C2/m (12)

---

(Q)
A relaxed structure of Nd3RuPb. Source: Alexandria via LeMat-Bulk, functional GGA-PBE.

The structure in POSCAR format:
```
Nd3RuPb
1.0
-3.7808 -0.4611 -6.2533
2.2875 -4.4544 -5.3404
-7.0211 -3.9054 0.2507
Ru Nd Pb
2 6 2
direct
0.3739 0.2678 0.7481 Ru
0.0525 0.9286 0.7311 Ru
0.8936 0.0080 0.4718 Nd
0.3911 0.5106 0.4712 Nd
0.5328 0.1884 0.0073 Nd
0.0353 0.1885 0.0079 Nd
0.3911 0.0080 0.4712 Nd
0.0352 0.6859 0.0079 Nd
0.5046 0.7025 0.0522 Pb
0.9218 0.4941 0.4268 Pb
```

Symmetry   R-3m (166)

---

(R)
A relaxed structure of Nd3RuPb. Source: Alexandria via LeMat-Bulk, functional GGA-PBE.

The structure in POSCAR format:
```
Nd3RuPb
1.0
-1.9394 1.7119 -4.7878
-1.5297 -5.0833 -1.1979
-4.8491 0.9190 2.2928
Nd Pb Ru
3 1 1
direct
0.5000 0.0000 0.0000 Nd
0.0000 0.0000 0.5000 Nd
0.0000 0.5000 0.0000 Nd
0.5000 0.5000 0.5000 Pb
0.0000 0.0000 0.0000 Ru
```

Symmetry   Pm-3m (221)

---

Verdict on stability: (Q) comes out at the bottom.

---

(P)
A relaxed structure of Nd4RuPb2. Source: Alexandria via LeMat-Bulk, functional GGA-PBE.

The structure in POSCAR format:
```
Nd4RuPb2
1.0
4.6019 0.0000 1.3931
2.0762 5.7862 1.4389
0.1047 -0.1011 7.9516
Nd Ru Pb
4 1 2
direct
0.3347 0.2796 0.0509 Nd
0.0630 0.2222 0.6519 Nd
0.9370 0.7778 0.3481 Nd
0.6653 0.7204 0.9491 Nd
0.0000 0.0000 0.0000 Ru
0.3379 0.6555 0.6688 Pb
0.6621 0.3445 0.3312 Pb
```

Symmetry   C2/m (12)

---

(Q)
A relaxed structure of Nd4RuPb2. Source: Alexandria via LeMat-Bulk, functional GGA-PBE.

The structure in POSCAR format:
```
Nd4RuPb2
1.0
5.2010 0.0000 0.0000
0.0000 5.2010 0.0000
-2.6005 -2.6005 8.5562
Nd Pb Ru
4 2 1
direct
0.8255 0.8255 0.6510 Nd
0.1745 0.1745 0.3490 Nd
0.5000 0.0000 0.0000 Nd
0.0000 0.5000 0.0000 Nd
0.6383 0.6383 0.2765 Pb
0.3617 0.3617 0.7235 Pb
0.0000 0.0000 0.0000 Ru
```

Symmetry   I4/mmm (139)

---

Verdict on stability: (Q) comes out at the bottom.

---

(P)
A relaxed structure of Nd2PbS4. Source: Alexandria via LeMat-Bulk, functional GGA-PBE.

The structure in POSCAR format:
```
Nd2PbS4
1.0
-5.1374 3.7818 5.5631
0.0619 -6.9822 4.7842
7.2973 3.6846 -2.1949
Nd S Pb
4 8 2
direct
0.6250 0.3750 0.7500 Nd
0.6250 0.8750 0.2500 Nd
0.6250 0.3750 0.2500 Nd
0.1250 0.3750 0.7500 Nd
0.3870 0.1616 0.7747 S
0.8383 0.6131 0.2254 S
0.3870 0.6123 0.2253 S
0.4117 0.1369 0.2746 S
0.8623 0.1371 0.7254 S
0.8630 0.5884 0.7253 S
0.8630 0.1377 0.2747 S
0.3877 0.6129 0.7746 S
0.2500 0.7499 0.5000 Pb
0.0000 0.0001 0.0000 Pb
```

Symmetry   I4_1/amd (141)

---

(Q)
A relaxed structure of Nd2PbS4. Source: Alexandria via LeMat-Bulk, functional GGA-PBE.

The structure in POSCAR format:
```
Nd2PbS4
1.0
4.2046 0.0000 0.0000
0.0000 11.5661 0.0000
0.0000 0.0000 15.2465
S Nd Pb
16 8 4
direct
0.7500 0.7647 0.1893 S
0.7500 0.0555 0.0828 S
0.7500 0.8527 0.5049 S
0.2500 0.6473 0.0049 S
0.7500 0.5088 0.7734 S
0.2500 0.4912 0.2266 S
0.2500 0.7353 0.6893 S
0.2500 0.9445 0.9172 S
0.7500 0.3527 0.9951 S
0.2500 0.1473 0.4951 S
0.2500 0.4445 0.5828 S
0.7500 0.0088 0.7266 S
0.2500 0.2353 0.8107 S
0.7500 0.5555 0.4172 S
0.2500 0.9912 0.2734 S
0.7500 0.2647 0.3107 S
0.2500 0.9527 0.6104 Nd
0.2500 0.3787 0.4037 Nd
0.7500 0.6213 0.5963 Nd
0.7500 0.0473 0.3896 Nd
0.2500 0.8787 0.0963 Nd
0.2500 0.4527 0.8896 Nd
0.7500 0.5473 0.1104 Nd
0.7500 0.1213 0.9037 Nd
0.7500 0.3070 0.6777 Pb
0.7500 0.8070 0.8223 Pb
0.2500 0.1930 0.1777 Pb
0.2500 0.6930 0.3223 Pb
```

Symmetry   Pnma (62)

---

Verdict on stability: (P) comes out at the bottom.

---

(P)
A relaxed structure of Nd2PbS. Source: Alexandria via LeMat-Bulk, functional GGA-PBE.

The structure in POSCAR format:
```
Nd2PbS
1.0
4.0364 -0.0043 -0.0070
-2.0207 3.4942 0.0070
-2.0260 -1.1569 8.0561
Nd Pb S
2 1 1
direct
0.5314 0.2666 0.7980 Nd
0.4686 0.7334 0.2020 Nd
0.0000 0.5000 0.5000 Pb
0.0000 0.0000 0.0000 S
```

Symmetry   C2/m (12)

---

(Q)
A relaxed structure of Nd2PbS. Source: Alexandria via LeMat-Bulk, functional GGA-PBE.

The structure in POSCAR format:
```
Nd2PbS
1.0
3.9543 0.0000 0.0000
1.9772 3.4245 0.0000
1.9772 1.1415 8.4005
S Nd Pb
1 2 1
direct
0.6672 0.6672 0.9983 S
0.0659 0.0659 0.8023 Nd
0.2675 0.2675 0.1974 Nd
0.4993 0.4993 0.5020 Pb
```

Symmetry   R3m (160)

---

Verdict on stability: (Q) comes out at the bottom.

---

(P)
A relaxed structure of Nd2SbPb. Source: Alexandria via LeMat-Bulk, functional GGA-PBE.

The structure in POSCAR format:
```
Nd2SbPb
1.0
4.6205 0.0000 0.0000
0.0000 6.4031 0.0198
0.0000 -3.1691 8.3999
Pb Sb Nd
2 2 4
direct
0.7500 0.7122 0.3034 Pb
0.2500 0.2878 0.6966 Pb
0.2500 0.3003 0.1981 Sb
0.7500 0.6997 0.8019 Sb
0.2500 0.7625 0.0617 Nd
0.7500 0.2375 0.9383 Nd
0.7500 0.2448 0.4306 Nd
0.2500 0.7552 0.5694 Nd
```

Symmetry   P2_1/m (11)

---

(Q)
A relaxed structure of Nd2SbPb. Source: Alexandria via LeMat-Bulk, functional GGA-PBE.

The structure in POSCAR format:
```
Nd2SbPb
1.0
4.5155 0.0000 0.0000
0.0000 4.5540 -0.8088
0.0000 -0.1034 12.6425
Pb Nd Sb
2 4 2
direct
0.2500 0.4524 0.9048 Pb
0.7500 0.5476 0.0952 Pb
0.2500 0.3140 0.6280 Nd
0.7500 0.9363 0.8727 Nd
0.7500 0.6860 0.3720 Nd
0.2500 0.0637 0.1273 Nd
0.2500 0.1879 0.3757 Sb
0.7500 0.8121 0.6242 Sb
```

Symmetry   Cmcm (63)

---

(R)
A relaxed structure of Nd2SbPb. Source: Alexandria via LeMat-Bulk, functional GGA-PBE.

The structure in POSCAR format:
```
Nd2SbPb
1.0
-1.0516 3.6056 -0.8296
-0.8564 0.6018 3.7012
7.6992 2.5596 1.3654
Sb Nd Pb
1 2 1
direct
0.5000 0.5000 0.0000 Sb
0.0000 0.0000 0.7714 Nd
0.0000 0.0000 0.2286 Nd
0.5000 0.5000 0.5000 Pb
```

Symmetry   P4/mmm (123)

---

(S)
A relaxed structure of Nd2SbPb. Source: Alexandria via LeMat-Bulk, functional GGA-PBE.

The structure in POSCAR format:
```
Nd2SbPb
1.0
4.3038 0.0000 0.0000
2.1519 3.7272 0.0000
2.1519 1.2424 8.4225
Nd Pb Sb
2 1 1
direct
0.2576 0.2576 0.2271 Nd
0.0757 0.0757 0.7729 Nd
0.4990 0.4990 0.5030 Pb
0.6677 0.6677 0.9970 Sb
```

Symmetry   R3m (160)

---

Verdict on stability: (R) comes out at the bottom.